[1]
# NbFe5Rh6

An optimized crystal structure of NbFe5Rh6 (PBE, Alexandria).

a b c (Å): 4.534 5.565 6.592
angles (deg): 90.00 94.72 90.00
Atoms (fractional coordinates):
Nb (0.000, 0.000, 0.000)
Fe (0.000, 0.500, 0.000)
Fe (0.336, 0.500, 0.671)
Fe (0.345, 0.000, 0.659)
Fe (0.655, 0.000, 0.341)
Fe (0.664, 0.500, 0.329)
Rh (0.164, 0.253, 0.337)
Rh (0.164, 0.747, 0.337)
Rh (0.500, 0.254, 0.000)
Rh (0.500, 0.746, 0.000)
Rh (0.836, 0.253, 0.663)
Rh (0.836, 0.747, 0.663)

Symmetry = P2/m (10)
Raw total energy = -8.15 eV per atom
ΔE_f = -0.1124 eV per atom
Density of states at the Fermi level = 1.343 states/eV per atom



[2]
# BeAg2Au

An optimized crystal structure of BeAg2Au (PBE, Alexandria).

a b c (Å): 2.950 2.950 7.052
angles (deg): 90.00 90.00 90.00
Atoms (fractional coordinates):
Be (0.000, 0.000, 0.000)
Ag (0.500, 0.500, 0.206)
Ag (0.500, 0.500, 0.794)
Au (0.000, 0.000, 0.500)

Symmetry = P4/mmm (123)
Raw total energy = -3.11 eV per atom
ΔE_f = 0.0681 eV per atom
Density of states at the Fermi level = 0.216 states/eV per atom



[3]
# Tl2TcBr

An optimized crystal structure of Tl2TcBr (PBE, Alexandria).

a b c (Å): 3.412 3.412 8.236
angles (deg): 90.00 90.00 90.12
Atoms (fractional coordinates):
Tl (0.000, 0.000, 0.215)
Tl (0.000, 0.000, 0.785)
Tc (0.500, 0.500, 0.000)
Br (0.500, 0.500, 0.500)

Polymorph energy (0 for the lowest one) = 0.155 eV/atom
Symmetry = Cmmm (65)
Raw total energy = -3.70 eV per atom
Raw formation energy = 0.496 eV/atom
Density of states at the Fermi level = 0.738 states/eV per atom



[4]
# Pm7SbAs5

An optimized crystal structure of Pm7SbAs5 (PBE, Alexandria).

a b c (Å): 7.302 7.302 24.971
angles (deg): 90.00 90.00 146.07
Atoms (fractional coordinates):
Pm (0.037, 0.963, 0.750)
Pm (0.136, 0.864, 0.035)
Pm (0.136, 0.864, 0.465)
Pm (0.323, 0.677, 0.674)
Pm (0.323, 0.677, 0.826)
Pm (0.409, 0.591, 0.105)
Pm (0.409, 0.591, 0.395)
Pm (0.591, 0.409, 0.605)
Pm (0.591, 0.409, 0.895)
Pm (0.677, 0.323, 0.174)
Pm (0.677, 0.323, 0.326)
Pm (0.864, 0.136, 0.535)
Pm (0.864, 0.136, 0.965)
Pm (0.963, 0.037, 0.250)
Sb (0.298, 0.702, 0.250)
Sb (0.702, 0.298, 0.750)
As (0.044, 0.956, 0.144)
As (0.044, 0.956, 0.356)
As (0.228, 0.772, 0.573)
As (0.228, 0.772, 0.927)
As (0.500, 0.500, 0.000)
As (0.500, 0.500, 0.500)
As (0.772, 0.228, 0.073)
As (0.772, 0.228, 0.427)
As (0.956, 0.044, 0.644)
As (0.956, 0.044, 0.856)

Symmetry = Cmcm (63)
Raw total energy = -6.04 eV per atom
Raw formation energy = -1.376 eV/atom
Density of states at the Fermi level = 0.364 states/eV per atom